DFT (PBE-GGA) results for ZrNbPd14 after structural relaxation.

a = 5.657 Å, b = 5.657 Å, c = 7.882 Å
α = 90.00°, β = 90.00°, γ = 89.99°
Fractional positions:
Zr 0.875 0.875 0.500
Nb 0.375 0.375 0.500
Pd 0.875 0.875 0.000
Pd 0.375 0.375 0.000
Pd 0.875 0.375 0.500
Pd 0.875 0.375 0.000
Pd 0.375 0.875 0.500
Pd 0.375 0.875 0.000
Pd 0.623 0.127 0.253
Pd 0.623 0.127 0.747
Pd 0.127 0.623 0.253
Pd 0.127 0.623 0.747
Pd 0.623 0.623 0.253
Pd 0.623 0.623 0.747
Pd 0.127 0.127 0.253
Pd 0.127 0.127 0.747

Results
E = -6.046 eV per atom
DOS(E_F) = 21.7 states/eV/f.u.
space-group type = P4/mmm, No. 123
energy relative to the elements = -0.339 eV/atom

---

DFT (PBE-GGA) results for Cd2GaPt9 after structural relaxation.

a = 4.014 Å, b = 4.014 Å, c = 11.995 Å
α = 90.00°, β = 90.00°, γ = 90.00°
Fractional positions:
Cd 0.000 0.000 0.330
Cd 0.000 0.000 0.670
Ga 0.000 0.000 0.000
Pt 0.500 0.500 0.000
Pt 0.500 0.500 0.329
Pt 0.500 0.500 0.671
Pt 0.500 0.000 0.158
Pt 0.500 0.000 0.500
Pt 0.500 0.000 0.842
Pt 0.000 0.500 0.158
Pt 0.000 0.500 0.500
Pt 0.000 0.500 0.842

Results
E = -5.205 eV per atom
DOS(E_F) = 12.2 states/eV/f.u.
space-group type = P4/mmm, No. 123
energy relative to the elements = -0.269 eV/atom

---

DFT (PBE-GGA) results for Zr2TiCd2 after structural relaxation.

a = 3.056 Å, b = 3.041 Å, c = 11.797 Å
α = 82.60°, β = 90.00°, γ = 90.00°
Fractional positions:
Zr 0.500 0.410 0.179
Zr 0.500 0.590 0.821
Ti 0.000 0.000 0.000
Cd 0.000 0.194 0.612
Cd 0.000 0.806 0.388

Results
E = -5.421 eV per atom
DOS(E_F) = 3.0 states/eV/f.u.
excess energy over the best structure of this formula in the dataset = 0.0000 eV/atom
space-group type = Cmmm, No. 65
energy relative to the elements = -0.057 eV/atom

---

Copy entry 3 word for word.
DFT (PBE-GGA) results for Zr2TiCd2 after structural relaxation.

a = 3.056 Å, b = 3.041 Å, c = 11.797 Å
α = 82.60°, β = 90.00°, γ = 90.00°
Fractional positions:
Zr 0.500 0.410 0.179
Zr 0.500 0.590 0.821
Ti 0.000 0.000 0.000
Cd 0.000 0.194 0.612
Cd 0.000 0.806 0.388

Results
E = -5.421 eV per atom
DOS(E_F) = 3.0 states/eV/f.u.
excess energy over the best structure of this formula in the dataset = 0.0000 eV/atom
space-group type = Cmmm, No. 65
energy relative to the elements = -0.057 eV/atom